Record 1
Material: Pm6YTm
Method: DFT, PBE
State: relaxed

Results
space group	P4/mmm (123)
E_form	0.016	eV per atom
total moment	0.0	μB per formula unit

Cell: 5.120 5.120 10.243 Å, 90.00 90.00 90.00°
Positions (direct):
Pm 0.000 0.000 0.000
Pm 0.000 0.000 0.500
Pm 0.000 0.500 0.248
Pm 0.000 0.500 0.752
Pm 0.500 0.000 0.248
Pm 0.500 0.000 0.752
Y 0.500 0.500 0.500
Tm 0.500 0.500 0.000

=====

Record 2
Material: AcTb6Pm3Er2
Method: DFT, PBE
State: relaxed

Results
space group	C2/m (12)
E_form	0.027	eV per atom
total moment	0.0	μB per formula unit

Cell: 6.248 6.248 11.967 Å, 94.98 94.98 119.97°
Positions (direct):
Ac 0.000 0.000 0.000
Tb 0.084 0.421 0.251
Tb 0.252 0.252 0.749
Tb 0.421 0.084 0.251
Tb 0.579 0.916 0.749
Tb 0.748 0.748 0.251
Tb 0.916 0.579 0.749
Pm 0.167 0.833 0.500
Pm 0.500 0.500 0.500
Pm 0.833 0.167 0.500
Er 0.333 0.667 0.000
Er 0.667 0.333 0.000

=====

Record 3
Material: HoCd2Pt
Method: DFT, PBE
State: relaxed

Results
space group	R-3m (166)
E_form	0.093	eV per atom
total moment	0.0	μB per formula unit

Cell: 10.776 10.776 10.776 Å, 16.71 16.71 16.71°
Positions (direct):
Ho 0.000 0.000 0.000
Cd 0.097 0.097 0.097
Cd 0.903 0.903 0.903
Pt 0.500 0.500 0.500

=====

Record 4
Material: ZnGa2Rh2
Method: DFT, PBE
State: relaxed

Results
space group	P4/mbm (127)
E_form	-0.474	eV per atom
total moment	0.0	μB per formula unit

Cell: 7.145 7.145 2.906 Å, 90.00 90.00 90.00°
Positions (direct):
Zn 0.000 0.000 0.000
Zn 0.500 0.500 0.000
Ga 0.138 0.362 0.000
Ga 0.362 0.862 0.000
Ga 0.638 0.138 0.000
Ga 0.862 0.638 0.000
Rh 0.160 0.660 0.500
Rh 0.340 0.160 0.500
Rh 0.660 0.840 0.500
Rh 0.840 0.340 0.500

=====

Record 5
Material: ZnCdSb3
Method: DFT, PBE
State: relaxed

Results
space group	Pm-3m (221)
E_form (uncorrected)	84	kJ per mole of atoms
total moment	0.0	μB per formula unit

Cell: 5.552 5.552 5.552 Å, 90.00 90.00 90.00°
Positions (direct):
Zn 0.000 0.000 0.000
Cd 0.500 0.500 0.500
Sb 0.000 0.500 0.500
Sb 0.500 0.000 0.500
Sb 0.500 0.500 0.000

=====

Record 6
Material: Cs2NbIn
Method: DFT, PBE
State: relaxed

Results
space group	Fm-3m (225)
E_form	1.252	eV per atom
total moment	4.3	μB per formula unit

Cell: 6.273 6.273 6.273 Å, 60.00 60.00 60.00°
Positions (direct):
Cs 0.250 0.250 0.250
Cs 0.750 0.750 0.750
Nb 0.000 0.000 0.000
In 0.500 0.500 0.500

=====

Record 7
Material: Li2InI2Br
Method: DFT, PBE
State: relaxed

Results
space group	P2_1/m (11)
E_form (uncorrected)	-98	kJ per mole of atoms
total moment	0.0	μB per formula unit

Cell: 8.060 6.248 9.219 Å, 90.00 104.68 90.00°
Positions (direct):
Li 0.133 0.001 0.159
Li 0.133 0.499 0.159
Li 0.867 0.501 0.841
Li 0.867 0.999 0.841
In 0.316 0.750 0.583
In 0.684 0.250 0.417
I 0.116 0.250 0.401
I 0.420 0.750 0.254
I 0.580 0.250 0.746
I 0.884 0.750 0.599
Br 0.120 0.250 0.939
Br 0.880 0.750 0.061

=====

Record 8
Material: TbTlH
Method: DFT, PBE
State: relaxed

Results
space group	I4mm (107)
total moment	0.4	μB per formula unit
calculated total energy	-10.81	eV per cell

Cell: 6.321 6.321 6.321 Å, 150.23 150.23 42.60°
Positions (direct):
Tb 0.000 0.000 0.000
Tl 0.271 0.271 0.000
H 0.533 0.533 0.000

=====

Record 9
Material: Cs2TaH
Method: DFT, PBE
State: relaxed

Results
space group	Fm-3m (225)
total moment	4.0	μB per formula unit
calculated total energy	-10.32	eV per cell

Cell: 6.236 6.236 6.236 Å, 60.00 60.00 60.00°
Positions (direct):
Cs 0.250 0.250 0.250
Cs 0.750 0.750 0.750
Ta 0.000 0.000 0.000
H 0.500 0.500 0.500

=====

Record 10
Material: TbSm4Sc3
Method: DFT, PBE
State: relaxed

Results
space group	Pmn2_1 (31)
E_form	0.051	eV per atom
total moment	0.0	μB per formula unit

Cell: 11.100 7.117 6.098 Å, 90.00 90.00 90.00°
Positions (direct):
Tb 0.000 0.118 0.000
Tb 0.500 0.882 0.500
Sm 0.000 0.364 0.495
Sm 0.000 0.635 0.975
Sm 0.242 0.633 0.332
Sm 0.258 0.367 0.832
Sm 0.500 0.365 0.475
Sm 0.500 0.636 0.995
Sm 0.742 0.367 0.832
Sm 0.758 0.633 0.332
Sc 0.000 0.887 0.496
Sc 0.249 0.115 0.326
Sc 0.251 0.885 0.826
Sc 0.500 0.113 0.996
Sc 0.749 0.885 0.826
Sc 0.751 0.115 0.326

=====

Record 11
Material: Y2CuB2
Method: DFT, PBE
State: relaxed

Results
space group	P4/mbm (127)
E_form	-0.209	eV per atom
total moment	0.0	μB per formula unit

Cell: 6.745 6.745 3.614 Å, 90.00 90.00 90.00°
Positions (direct):
Y 0.188 0.312 0.000
Y 0.312 0.812 0.000
Y 0.688 0.188 0.000
Y 0.812 0.688 0.000
Cu 0.000 0.000 0.500
Cu 0.500 0.500 0.500
B 0.085 0.585 0.500
B 0.415 0.085 0.500
B 0.585 0.915 0.500
B 0.915 0.415 0.500

=====

Record 12
Material: Pr3Cu2Si2
Method: DFT, PBE
State: relaxed

Results
space group	C2/m (12)
E_form (uncorrected)	-46	kJ per mole of atoms
total moment	0.0	μB per formula unit

Cell: 5.966 5.966 7.038 Å, 109.22 109.22 43.44°
Positions (direct):
Pr 0.000 0.000 0.000
Pr 0.180 0.180 0.632
Pr 0.820 0.820 0.368
Cu 0.308 0.308 0.077
Cu 0.692 0.692 0.923
Si 0.477 0.477 0.660
Si 0.523 0.523 0.340

=====

Which of these has the highest total moment? Cs2NbIn

=====

What is the total moment in the fifth record? 0.0 μB per formula unit